<one>
Entry from the Alexandria database: crystalline Re2BN at its relaxed geometry (PBE).

Cell: 3.8637 3.8637 3.8637 Å, 60.00 60.00 60.00°
Fractional coordinates of all 4 atoms:
Re  0.2500  0.2500  0.2500
Re  0.7500  0.7500  0.7500
B  0.0000  0.0000  0.0000
N  0.5000  0.5000  0.5000

Computed properties:
* magnetic moment: 0.0 μB/cell
* theoretical density: 16.2 g cm⁻³
* space-group type: No. 225
* density of states at the Fermi level: 0.640 states/eV/atom

<two>
Entry from the Alexandria database: crystalline Re2BN at its relaxed geometry (PBE).

Cell: 4.6033 4.6033 5.8440 Å, 66.81 66.81 90.00°
Last column: magnetic moment on the atom in μB.
Fractional coordinates of all 8 atoms:
N  0.7500  0.2500  0.5000  -0.01
N  0.0000  0.0000  0.0000  -0.01
B  0.5000  0.5000  0.0000  -0.01
B  0.2500  0.7500  0.5000  -0.01
Re  0.1069  0.6250  0.2500  0.52
Re  0.6431  0.1250  0.2500  0.52
Re  0.3750  0.3569  0.7500  0.51
Re  0.8750  0.8931  0.7500  0.51

Computed properties:
* magnetic moment: 2.2 μB/cell
* theoretical density: 12.8 g cm⁻³
* space-group type: No. 122
* density of states at the Fermi level: 0.982 states/eV/atom

Which one is most stable, and which one is least stable? <two> is the most stable of them, while <one> is the least stable.

<one>
Entry from the Alexandria database: crystalline BRhS2N at its relaxed geometry (PBE).

Cell: 4.8522 4.8522 3.6042 Å, 90.00 90.00 90.00°
Fractional coordinates of all 5 atoms:
S  0.0000  0.5000  0.0000
S  0.5000  0.0000  0.0000
B  0.5000  0.5000  0.5000
Rh  0.0000  0.0000  0.0000
N  0.0000  0.0000  0.5000

Computed properties:
* magnetic moment: 0.0 μB/cell
* theoretical density: 3.8 g cm⁻³
* space-group type: No. 123
* density of states at the Fermi level: 0.731 states/eV/atom

<two>
Entry from the Alexandria database: crystalline BRhS2N at its relaxed geometry (PBE).

Cell: 4.7714 4.7714 2.7281 Å, 90.00 90.00 90.00°
Fractional coordinates of all 5 atoms:
S  0.5000  0.0000  0.0000
S  0.0000  0.5000  0.0000
N  0.0000  0.0000  0.5000
Rh  0.5000  0.5000  0.5000
B  0.0000  0.0000  0.0000

Computed properties:
* magnetic moment: 0.0 μB/cell
* theoretical density: 5.1 g cm⁻³
* space-group type: No. 123
* density of states at the Fermi level: 0.567 states/eV/atom

Which one is most stable, and which one is least stable? <two> is the most stable of them, while <one> is the least stable.

<one>
Entry from the Alexandria database: crystalline BRhSeN2 at its relaxed geometry (PBE).

Cell: 3.7202 3.7202 5.5054 Å, 90.00 90.00 90.00°
Last column: magnetic moment on the atom in μB.
Fractional coordinates of all 5 atoms:
Rh  0.0000  0.0000  0.0000  -0.02
N  0.5000  0.0000  0.0000  0.14
N  0.0000  0.5000  0.0000  0.14
B  0.5000  0.5000  0.5000  0.00
Se  0.0000  0.0000  0.5000  0.00

Computed properties:
* magnetic moment: 0.3 μB/cell
* theoretical density: 4.8 g cm⁻³
* space-group type: No. 123
* density of states at the Fermi level: 0.564 states/eV/atom

<two>
Entry from the Alexandria database: crystalline BRhSeN2 at its relaxed geometry (PBE).

Cell: 3.2569 3.2569 7.9413 Å, 90.00 90.00 90.00°
Last column: magnetic moment on the atom in μB.
Fractional coordinates of all 5 atoms:
Rh  0.5000  0.5000  0.5000  0.00
N  0.5000  0.0000  0.0000  0.09
N  0.0000  0.5000  0.0000  0.09
B  0.0000  0.0000  0.0000  -0.01
Se  0.0000  0.0000  0.5000  0.00

Computed properties:
* magnetic moment: 0.2 μB/cell
* theoretical density: 4.4 g cm⁻³
* space-group type: No. 123
* density of states at the Fermi level: 0.619 states/eV/atom

Which one is most stable, and which one is least stable? <two> is the most stable of them, while <one> is the least stable.

<one>
Entry from the Alexandria database: crystalline BRhSe2N at its relaxed geometry (PBE).

Cell: 5.1147 5.1147 3.5983 Å, 90.00 90.00 90.00°
Fractional coordinates of all 5 atoms:
Rh  0.0000  0.0000  0.0000
B  0.5000  0.5000  0.5000
Se  0.5000  0.0000  0.0000
Se  0.0000  0.5000  0.0000
N  0.0000  0.0000  0.5000

Computed properties:
* magnetic moment: 0.0 μB/cell
* theoretical density: 5.0 g cm⁻³
* space-group type: No. 123
* density of states at the Fermi level: 0.644 states/eV/atom

<two>
Entry from the Alexandria database: crystalline BRhSe2N at its relaxed geometry (PBE).

Cell: 5.0405 5.0405 2.7579 Å, 90.00 90.00 90.00°
Fractional coordinates of all 5 atoms:
Rh  0.5000  0.5000  0.5000
Se  0.0000  0.5000  0.0000
Se  0.5000  0.0000  0.0000
N  0.0000  0.0000  0.5000
B  0.0000  0.0000  0.0000

Computed properties:
* magnetic moment: 0.0 μB/cell
* theoretical density: 6.8 g cm⁻³
* space-group type: No. 123
* density of states at the Fermi level: 0.770 states/eV/atom

Which one is most stable, and which one is least stable? <two> is the most stable of them, while <one> is the least stable.

<one>
Entry from the Alexandria database: crystalline BTeRhN2 at its relaxed geometry (PBE).

Cell: 3.7125 3.7125 6.2064 Å, 90.00 90.00 90.00°
Last column: magnetic moment on the atom in μB.
Fractional coordinates of all 5 atoms:
Te  0.0000  0.0000  0.5000  0.01
N  0.5000  0.0000  0.0000  0.18
N  0.0000  0.5000  0.0000  0.18
B  0.5000  0.5000  0.5000  0.01
Rh  0.0000  0.0000  0.0000  -0.01

Computed properties:
* magnetic moment: 0.5 μB/cell
* theoretical density: 5.2 g cm⁻³
* space-group type: No. 123
* density of states at the Fermi level: 0.595 states/eV/atom

<two>
Entry from the Alexandria database: crystalline BTeRhN2 at its relaxed geometry (PBE).

Cell: 3.4054 3.4054 7.5448 Å, 90.00 90.00 90.00°
Last column: magnetic moment on the atom in μB.
Fractional coordinates of all 5 atoms:
N  0.5000  0.0000  0.0000  0.13
N  0.0000  0.5000  0.0000  0.13
B  0.0000  0.0000  0.0000  -0.02
Rh  0.5000  0.5000  0.5000  0.00
Te  0.0000  0.0000  0.5000  0.00

Computed properties:
* magnetic moment: 0.3 μB/cell
* theoretical density: 5.1 g cm⁻³
* space-group type: No. 123
* density of states at the Fermi level: 0.581 states/eV/atom

Which one is most stable, and which one is least stable? <two> is the most stable of them, while <one> is the least stable.

<one>
Entry from the Alexandria database: crystalline B3RuN at its relaxed geometry (PBE).

Cell: 3.4250 3.4250 3.4250 Å, 90.00 90.00 90.00°
Fractional coordinates of all 5 atoms:
N  0.0000  0.0000  0.0000
Ru  0.5000  0.5000  0.5000
B  0.0000  0.0000  0.5000
B  0.5000  0.0000  0.0000
B  0.0000  0.5000  0.0000

Computed properties:
* magnetic moment: 0.0 μB/cell
* theoretical density: 6.1 g cm⁻³
* space-group type: No. 221
* density of states at the Fermi level: 0.575 states/eV/atom

<two>
Entry from the Alexandria database: crystalline B3RuN at its relaxed geometry (PBE).

Cell: 4.0706 4.0706 4.0706 Å, 90.00 90.00 90.00°
Last column: magnetic moment on the atom in μB.
Fractional coordinates of all 5 atoms:
B  0.0000  0.5000  0.0000  0.03
B  0.0000  0.0000  0.5000  -0.06
B  0.5000  0.0000  0.0000  0.04
Ru  0.0000  0.0000  0.0000  0.20
N  0.5000  0.5000  0.5000  1.71

Computed properties:
* magnetic moment: 2.6 μB/cell
* theoretical density: 3.6 g cm⁻³
* space-group type: No. 221
* density of states at the Fermi level: 0.301 states/eV/atom

Which one is most stable, and which one is least stable? <one> is the most stable of them, while <two> is the least stable.

<one>
Entry from the Alexandria database: crystalline BRuSN2 at its relaxed geometry (PBE).

Cell: 3.7075 3.7075 5.1864 Å, 90.00 90.00 90.00°
Last column: magnetic moment on the atom in μB.
Fractional coordinates of all 5 atoms:
N  0.0000  0.5000  0.0000  0.16
N  0.5000  0.0000  0.0000  0.16
S  0.0000  0.0000  0.5000  0.01
Ru  0.0000  0.0000  0.0000  -0.03
B  0.5000  0.5000  0.5000  0.00

Computed properties:
* magnetic moment: 0.4 μB/cell
* theoretical density: 4.0 g cm⁻³
* space-group type: No. 123
* density of states at the Fermi level: 0.408 states/eV/atom

<two>
Entry from the Alexandria database: crystalline BRuSN2 at its relaxed geometry (PBE).

Cell: 3.1622 3.1622 6.8859 Å, 90.00 90.00 90.00°
Last column: magnetic moment on the atom in μB.
Fractional coordinates of all 5 atoms:
S  0.0000  0.0000  0.5000  0.09
B  0.0000  0.0000  0.0000  0.00
N  0.0000  0.5000  0.0000  -0.01
N  0.5000  0.0000  0.0000  -0.01
Ru  0.5000  0.5000  0.5000  0.46

Computed properties:
* magnetic moment: 0.6 μB/cell
* theoretical density: 4.1 g cm⁻³
* space-group type: No. 123
* density of states at the Fermi level: 0.834 states/eV/atom

Which one is most stable, and which one is least stable? <two> is the most stable of them, while <one> is the least stable.

<one>
Entry from the Alexandria database: crystalline BRuS2N at its relaxed geometry (PBE).

Cell: 4.7714 4.7714 3.6343 Å, 90.00 90.00 90.00°
Fractional coordinates of all 5 atoms:
S  0.5000  0.0000  0.0000
S  0.0000  0.5000  0.0000
Ru  0.0000  0.0000  0.0000
B  0.5000  0.5000  0.5000
N  0.0000  0.0000  0.5000

Computed properties:
* magnetic moment: 0.0 μB/cell
* theoretical density: 3.8 g cm⁻³
* space-group type: No. 123
* density of states at the Fermi level: 1.250 states/eV/atom

<two>
Entry from the Alexandria database: crystalline BRuS2N at its relaxed geometry (PBE).

Cell: 4.6993 4.6993 2.7471 Å, 90.00 90.00 90.00°
Last column: magnetic moment on the atom in μB.
Fractional coordinates of all 5 atoms:
B  0.0000  0.0000  0.0000  0.00
Ru  0.5000  0.5000  0.5000  0.12
N  0.0000  0.0000  0.5000  0.00
S  0.5000  0.0000  0.0000  0.00
S  0.0000  0.5000  0.0000  0.00

Computed properties:
* magnetic moment: 0.1 μB/cell
* theoretical density: 5.2 g cm⁻³
* space-group type: No. 123
* density of states at the Fermi level: 0.860 states/eV/atom

Which one is most stable, and which one is least stable? <two> is the most stable of them, while <one> is the least stable.